# 1
This record from Alexandria describes a relaxed structure of KPuCu2Br8. The functional is PBE.

a = 8.0857 Å, b = 8.0857 Å, c = 8.0857 Å
α = 105.40°, β = 105.40°, γ = 117.96°
Sites, in units of the cell vectors:
K: 0.0000 0.0000 0.0000
Pu: 0.7500 0.2500 0.5000
Cu: 0.2500 0.7500 0.5000
Cu: 0.5000 0.5000 0.0000
Br: 0.0467 0.3737 0.3270
Br: 0.0467 0.7197 0.6730
Br: 0.1278 0.3321 0.7957
Br: 0.2803 0.9533 0.3270
Br: 0.5364 0.3321 0.2043
Br: 0.6263 0.9533 0.6730
Br: 0.6679 0.4636 0.7957
Br: 0.6679 0.8722 0.2043

Properties
**Fermi-level density of states**: 18.700 states/eV per cell
**Uncorrected energy**: -3.969 eV per atom
**Total magnetization**: 2.9 μB per cell

---

# 2
This record from Alexandria describes a relaxed structure of KPuCuBr5. The functional is PBE.

a = 7.8035 Å, b = 7.8035 Å, c = 10.6520 Å
α = 103.95°, β = 103.95°, γ = 106.14°
Sites, in units of the cell vectors:
K: 0.1435 0.8565 0.7500
K: 0.8565 0.1435 0.2500
Pu: 0.5000 0.5000 0.0000
Pu: 0.5000 0.5000 0.5000
Cu: 0.1901 0.8099 0.2500
Cu: 0.8099 0.1901 0.7500
Br: 0.1136 0.2536 0.9295
Br: 0.1746 0.5866 0.3782
Br: 0.2536 0.1136 0.4295
Br: 0.4098 0.5902 0.7500
Br: 0.4134 0.8254 0.1218
Br: 0.5866 0.1746 0.8782
Br: 0.5902 0.4098 0.2500
Br: 0.7464 0.8864 0.5705
Br: 0.8254 0.4134 0.6218
Br: 0.8864 0.7464 0.0705

Properties
**Fermi-level density of states**: 25.802 states/eV per cell
**Uncorrected energy**: -4.742 eV per atom
**Total magnetization**: 10.0 μB per cell

---

# 3
This record from Alexandria describes a relaxed structure of K3PuCu2Br9. The functional is PBE.

a = 7.6214 Å, b = 7.6214 Å, c = 9.4897 Å
α = 90.00°, β = 90.00°, γ = 120.00°
Sites, in units of the cell vectors:
K: 0.0000 0.0000 0.0000
K: 0.3333 0.6667 0.7181
K: 0.6667 0.3333 0.2819
Pu: 0.0000 0.0000 0.5000
Cu: 0.3333 0.6667 0.1387
Cu: 0.6667 0.3333 0.8613
Br: 0.0000 0.5000 0.0000
Br: 0.1714 0.3428 0.3253
Br: 0.1714 0.8286 0.3253
Br: 0.3428 0.1714 0.6747
Br: 0.5000 0.0000 0.0000
Br: 0.5000 0.5000 0.0000
Br: 0.6572 0.8286 0.3253
Br: 0.8286 0.1714 0.6747
Br: 0.8286 0.6572 0.6747

Properties
**Fermi-level density of states**: 16.078 states/eV per cell
**Uncorrected energy**: -3.893 eV per atom
**Total magnetization**: 4.0 μB per cell

---

# 4
This record from Alexandria describes a relaxed structure of K2PuCuBr6. The functional is PBE.

a = 7.6872 Å, b = 7.6872 Å, c = 6.7135 Å
α = 90.00°, β = 90.00°, γ = 120.00°
Sites, in units of the cell vectors:
K: 0.3333 0.6667 0.3212
K: 0.6667 0.3333 0.6788
Pu: 0.0000 0.0000 0.0000
Cu: 0.0000 0.0000 0.5000
Br: 0.1675 0.3350 0.7329
Br: 0.1675 0.8325 0.7329
Br: 0.3350 0.1675 0.2671
Br: 0.6650 0.8325 0.7329
Br: 0.8325 0.1675 0.2671
Br: 0.8325 0.6650 0.2671

Properties
**Fermi-level density of states**: 9.497 states/eV per cell
**Uncorrected energy**: -4.379 eV per atom
**Total magnetization**: 5.0 μB per cell

---

# 5
This record from Alexandria describes a relaxed structure of K2PuCu2Br6. The functional is PBE.

a = 7.7800 Å, b = 7.7800 Å, c = 8.1057 Å
α = 116.18°, β = 116.18°, γ = 61.60°
Sites, in units of the cell vectors:
K: 0.2317 0.2317 0.1939
K: 0.7683 0.7683 0.8061
Pu: 0.0000 0.0000 0.5000
Cu: 0.4599 0.4599 0.8192
Cu: 0.5401 0.5401 0.1808
Br: 0.1861 0.6888 0.1880
Br: 0.2489 0.2489 0.6154
Br: 0.3112 0.8139 0.8120
Br: 0.6888 0.1861 0.1880
Br: 0.7511 0.7511 0.3846
Br: 0.8139 0.3112 0.8120

Properties
**Fermi-level density of states**: 16.600 states/eV per cell
**Uncorrected energy**: -4.241 eV per atom
**Total magnetization**: 6.0 μB per cell

---

# 6
This record from Alexandria describes a relaxed structure of KRb3Cu2Br6. The functional is PBE.

a = 8.2354 Å, b = 8.2354 Å, c = 9.1079 Å
α = 90.00°, β = 90.00°, γ = 120.00°
Sites, in units of the cell vectors:
K: 0.0000 0.0000 0.0000
Rb: 0.0000 0.0000 0.5000
Rb: 0.3333 0.6667 0.1560
Rb: 0.6667 0.3333 0.8440
Cu: 0.3333 0.6667 0.7599
Cu: 0.6667 0.3333 0.2401
Br: 0.1688 0.3376 0.7719
Br: 0.1688 0.8312 0.7719
Br: 0.3376 0.1688 0.2281
Br: 0.6624 0.8312 0.7719
Br: 0.8312 0.1688 0.2281
Br: 0.8312 0.6624 0.2281

Properties
**Fermi-level density of states**: 0.000 states/eV per cell
**Uncorrected energy**: -3.029 eV per atom
**Total magnetization**: 0.2 μB per cell

---

# 7
This record from Alexandria describes a relaxed structure of K2RbCu2Br6. The functional is PBE.

a = 6.7963 Å, b = 6.7963 Å, c = 10.0893 Å
α = 105.82°, β = 105.82°, γ = 67.40°
Sites, in units of the cell vectors:
K: 0.1848 0.1848 0.1356
K: 0.8152 0.8152 0.8644
Rb: 0.0000 0.0000 0.5000
Cu: 0.4675 0.4675 0.6987
Cu: 0.5325 0.5325 0.3013
Br: 0.1810 0.6945 0.1765
Br: 0.3055 0.8190 0.8235
Br: 0.3063 0.3063 0.4864
Br: 0.6937 0.6937 0.5136
Br: 0.6945 0.1810 0.1765
Br: 0.8190 0.3055 0.8235

Properties
**Fermi-level density of states**: 4.764 states/eV per cell
**Uncorrected energy**: -3.015 eV per atom
**Total magnetization**: 1.0 μB per cell

---

# 8
This record from Alexandria describes a relaxed structure of KRb3Cu2Br9. The functional is PBE.

a = 7.3925 Å, b = 7.3925 Å, c = 10.8524 Å
α = 90.00°, β = 90.00°, γ = 120.00°
Sites, in units of the cell vectors:
K: 0.0000 0.0000 0.0000
Rb: 0.0000 0.0000 0.5000
Rb: 0.3333 0.6667 0.2403
Rb: 0.6667 0.3333 0.7597
Cu: 0.3333 0.6667 0.6487
Cu: 0.6667 0.3333 0.3513
Br: 0.0000 0.5000 0.5000
Br: 0.1696 0.3392 0.7749
Br: 0.1696 0.8304 0.7749
Br: 0.3392 0.1696 0.2251
Br: 0.5000 0.0000 0.5000
Br: 0.5000 0.5000 0.5000
Br: 0.6608 0.8304 0.7749
Br: 0.8304 0.1696 0.2251
Br: 0.8304 0.6608 0.2251

Properties
**Fermi-level density of states**: 7.980 states/eV per cell
**Uncorrected energy**: -2.809 eV per atom
**Total magnetization**: 0.0 μB per cell

---

What did the fifth record say?
This record from Alexandria describes a relaxed structure of K2PuCu2Br6. The functional is PBE.

a = 7.7800 Å, b = 7.7800 Å, c = 8.1057 Å
α = 116.18°, β = 116.18°, γ = 61.60°
Sites, in units of the cell vectors:
K: 0.2317 0.2317 0.1939
K: 0.7683 0.7683 0.8061
Pu: 0.0000 0.0000 0.5000
Cu: 0.4599 0.4599 0.8192
Cu: 0.5401 0.5401 0.1808
Br: 0.1861 0.6888 0.1880
Br: 0.2489 0.2489 0.6154
Br: 0.3112 0.8139 0.8120
Br: 0.6888 0.1861 0.1880
Br: 0.7511 0.7511 0.3846
Br: 0.8139 0.3112 0.8120

Properties
**Fermi-level density of states**: 16.600 states/eV per cell
**Uncorrected energy**: -4.241 eV per atom
**Total magnetization**: 6.0 μB per cell